A plane-wave DFT calculation with PBE was carried out for OsRu2Br after structural relaxation.

The space group is P4mm (No. 99) and the conventional cell measures 2.853, 2.853 and 7.603 Å, with angles of 90.00, 90.00 and 90.00 degrees. The distinct sites, in fractional coordinates, are Os at (0.000, 0.000, 0.000), Ru at (0.000, 0.000, 0.470), Ru at (0.500, 0.500, 0.226) and Br at (0.500, 0.500, 0.718).


A plane-wave DFT calculation with PBE was carried out for TiGeIO2 after structural relaxation.

The space group is P4/mmm (No. 123) and the conventional cell measures 3.818, 3.818 and 6.263 Å, with angles of 90.00, 90.00 and 90.00 degrees. The distinct sites, in fractional coordinates, are Ti at (0.000, 0.000, 0.000), Ge at (0.500, 0.500, 0.500), I at (0.500, 0.500, 0.000) and O at (0.000, 0.500, 0.500).


M_tot? In order: 0.000 0.000 μB/atom.
Formation energy from raw total energies? In order: 3.345 -0.763 eV/f.u..
Mass density? In order: 12.7 5.1 g/cm³.